Material: Li2BeOs
Method: DFT, PBE-GGA
State: relaxed

Values from the calculation:
**ρ**: 6.69 g/cm3
**Calculated formation energy**: 210 meV per atom
**Energy**: -4.49 eV/atom
**SG**: No. 166

Lattice parameters (Å, degrees): 2.5999 2.5999 27.1211 90.00 90.00 120.00
Fractional positions:
Li: 0.0000 0.0000 0.2491
Li: 0.0000 0.0000 0.7509
Li: 0.3333 0.6667 0.4175
Li: 0.3333 0.6667 0.9158
Li: 0.6667 0.3333 0.0842
Li: 0.6667 0.3333 0.5825
Be: 0.0000 0.0000 0.5000
Be: 0.3333 0.6667 0.1667
Be: 0.6667 0.3333 0.8333
Os: 0.0000 0.0000 0.0000
Os: 0.3333 0.6667 0.6667
Os: 0.6667 0.3333 0.3333